CsBa2LiCu: relaxed, PBE-GGA.

a b c (Å): 6.411 6.411 5.870
angles (deg): 90.00 90.00 90.00
Space group P4/mmm (No. 123)
Asymmetric unit:
Cs  0.000  0.000  0.000
Ba  0.000  0.500  0.500
Li  0.500  0.500  0.000
Cu  0.500  0.500  0.500

Summary:
For the formation enthalpy at 0 K, the calculation gives 0.87 eV per formula unit. The crystal system is tetragonal. The value obtained for the density is 3.29 g cm⁻³. Its density of states at the Fermi level is 4.20 states/eV/cell.

CsBa2MgCu: relaxed, PBE-GGA.

a b c (Å): 6.501 6.501 5.421
angles (deg): 90.00 90.00 90.00
Space group P4/mmm (No. 123)
Asymmetric unit:
Cs  0.000  0.000  0.000
Ba  0.000  0.500  0.500
Mg  0.500  0.500  0.000
Cu  0.500  0.500  0.500

Summary:
For the formation enthalpy at 0 K, the calculation gives 0.69 eV per formula unit. The crystal system is tetragonal. The value obtained for the density is 3.59 g cm⁻³. Its density of states at the Fermi level is 5.73 states/eV/cell.

CsBa2MnCu: relaxed, PBE-GGA.

a b c (Å): 6.248 6.248 6.508
angles (deg): 90.00 90.00 90.00
Space group P4/mmm (No. 123)
Asymmetric unit:
Cs  0.000  0.000  0.000
Ba  0.000  0.500  0.500
Mn  0.500  0.500  0.000
Cu  0.000  0.000  0.500

Summary:
For the formation enthalpy at 0 K, the calculation gives 3.18 eV per formula unit. The crystal system is tetragonal. The value obtained for the density is 3.44 g cm⁻³. Its density of states at the Fermi level is 4.41 states/eV/cell.

CsBa2CuN: relaxed, PBE-GGA.

a b c (Å): 5.984 5.984 5.838
angles (deg): 90.00 90.00 90.00
Space group P4/mmm (No. 123)
Asymmetric unit:
Cs  0.000  0.000  0.000
Ba  0.000  0.500  0.500
Cu  0.000  0.000  0.500
N  0.500  0.500  0.000

Summary:
As for the formation energy (no corrections): 5.2 eV/f.u. The crystal system is tetragonal. The value obtained for the density is 3.85 g cm⁻³. Its density of states at the Fermi level is 3.86 states/eV/cell.

CsBaNa2Cu: relaxed, PBE-GGA.

a b c (Å): 6.201 6.201 6.066
angles (deg): 90.00 90.00 90.00
Space group P4/mmm (No. 123)
Asymmetric unit:
Cs  0.000  0.000  0.000
Ba  0.500  0.500  0.000
Na  0.000  0.500  0.500
Cu  0.500  0.500  0.500

Summary:
For the formation enthalpy at 0 K, the calculation gives 0.89 eV per formula unit. The crystal system is tetragonal. The value obtained for the density is 2.70 g cm⁻³. Its density of states at the Fermi level is 4.40 states/eV/cell.

CsBa2NaCu: relaxed, PBE-GGA.

a b c (Å): 6.397 6.397 6.519
angles (deg): 90.00 90.00 90.00
Space group P4/mmm (No. 123)
Asymmetric unit:
Cs  0.000  0.000  0.000
Ba  0.000  0.500  0.500
Na  0.500  0.500  0.000
Cu  0.500  0.500  0.500

Summary:
For the formation enthalpy at 0 K, the calculation gives 0.68 eV per formula unit. The crystal system is tetragonal. The value obtained for the density is 3.08 g cm⁻³. Its density of states at the Fermi level is 4.68 states/eV/cell.

CsBa2NaCu: relaxed, PBE-GGA.

a b c (Å): 6.390 6.390 6.990
angles (deg): 90.00 90.00 90.00
Space group P4/mmm (No. 123)
Asymmetric unit:
Cs  0.000  0.000  0.000
Ba  0.000  0.500  0.500
Na  0.500  0.500  0.000
Cu  0.000  0.000  0.500

Summary:
For the formation enthalpy at 0 K, the calculation gives 0.68 eV per formula unit. The crystal system is tetragonal. The value obtained for the density is 2.87 g cm⁻³. Its density of states at the Fermi level is 3.29 states/eV/cell.

CsBaCuO2: relaxed, PBE-GGA.

a b c (Å): 7.912 13.732 5.376
angles (deg): 90.00 90.00 90.00
Space group Cmme (No. 67)
Asymmetric unit:
Cs  0.000  0.250  0.075
Ba  0.250  0.000  0.500
Cu  0.000  0.000  0.000
O  0.000  0.086  0.743

Summary:
As for the formation energy (no corrections): -7.3 eV/f.u. The crystal system is orthorhombic. The value obtained for the density is 4.16 g cm⁻³.

Cs2BaCuP: relaxed, PBE-GGA.

a b c (Å): 6.974 6.974 6.096
angles (deg): 90.00 90.00 90.00
Space group P4/mmm (No. 123)
Asymmetric unit:
Cs  0.000  0.500  0.000
Ba  0.000  0.000  0.500
Cu  0.500  0.500  0.500
P  0.000  0.000  0.000

Summary:
For the formation enthalpy at 0 K, the calculation gives 0.50 eV per formula unit. The crystal system is tetragonal. The value obtained for the density is 2.79 g cm⁻³. Its density of states at the Fermi level is 1.56 states/eV/cell.

CsBaCuS2: relaxed, PBE-GGA.

a b c (Å): 8.976 16.306 5.290
angles (deg): 90.00 90.00 90.00
Space group Cmme (No. 67)
Asymmetric unit:
Cs  0.000  0.250  0.245
Ba  0.250  0.000  0.500
Cu  0.000  0.000  0.000
S  0.000  0.105  0.757

Summary:
As for the formation energy (no corrections): -5.9 eV/f.u. The crystal system is orthorhombic. The value obtained for the density is 3.41 g cm⁻³. Its density of states at the Fermi level is 0.00 states/eV/cell.

CsBaCuSe2: relaxed, PBE-GGA.

a b c (Å): 9.151 17.072 5.432
angles (deg): 90.00 90.00 90.00
Space group Cmme (No. 67)
Asymmetric unit:
Cs  0.000  0.250  0.250
Ba  0.250  0.000  0.000
Cu  0.000  0.000  0.500
Se  0.000  0.108  0.742

Summary:
As for the formation energy (no corrections): -5.7 eV/f.u. The crystal system is orthorhombic. The value obtained for the density is 3.85 g cm⁻³. Its density of states at the Fermi level is 0.00 states/eV/cell.

Cs2BaCuTc: relaxed, PBE-GGA.

a b c (Å): 7.532 7.532 5.478
angles (deg): 90.00 90.00 90.00
Space group P4/mmm (No. 123)
Asymmetric unit:
Cs  0.000  0.500  0.000
Ba  0.000  0.000  0.000
Cu  0.000  0.000  0.500
Tc  0.500  0.500  0.500

Summary:
For the formation enthalpy at 0 K, the calculation gives 8.15 eV per formula unit. The crystal system is tetragonal. The value obtained for the density is 3.02 g cm⁻³. Its density of states at the Fermi level is 9.04 states/eV/cell.

CsBaTlCu2: relaxed, PBE-GGA.

a b c (Å): 5.367 5.367 6.337
angles (deg): 90.00 90.00 90.00
Space group P4/mmm (No. 123)
Asymmetric unit:
Cs  0.000  0.000  0.000
Ba  0.500  0.500  0.000
Tl  0.500  0.500  0.500
Cu  0.000  0.500  0.500

Summary:
For the formation enthalpy at 0 K, the calculation gives 2.41 eV per formula unit. The crystal system is tetragonal. The value obtained for the density is 5.47 g cm⁻³. Its density of states at the Fermi level is 3.97 states/eV/cell.

Cs2BaErI6: relaxed, PBE-GGA.

a b c (Å): 8.793 12.808 9.364
angles (deg): 90.00 90.00 90.00
Space group Pmmn (No. 59, origin choice 2)
Asymmetric unit:
Cs  0.250  0.028  0.209
Ba  0.250  0.250  0.723
Er  0.250  0.750  0.774
I  0.004  0.750  0.549
I  0.012  0.750  0.008
I  0.250  0.514  0.771

Summary:
As for the formation energy (no corrections): -14.2 eV/f.u. The crystal system is orthorhombic. The value obtained for the density is 4.19 g cm⁻³. Its density of states at the Fermi level is 10.52 states/eV/cell.

CsBaErO3: relaxed, PBE-GGA.

a b c (Å): 6.512 13.118 6.304
angles (deg): 90.00 90.21 90.00
Space group C2/c (No. 15)
Asymmetric unit:
Cs  0.000  0.247  0.250
Ba  0.000  0.415  0.750
Er  0.000  0.056  0.750
O  0.000  0.217  0.750
O  0.221  0.001  0.500

Summary:
As for the formation energy (no corrections): -15.8 eV/f.u. The crystal system is monoclinic. The value obtained for the density is 5.99 g cm⁻³. Its density of states at the Fermi level is 0.00 states/eV/cell.

CsBa2Eu: relaxed, PBE-GGA.

a b c (Å): 4.4078 4.4078 46.5910
angles (deg): 90.00 90.00 120.00
Space group R-3m (No. 166, hexagonal axes)
Asymmetric unit:
Cs  0.0000  0.0000  0.0000
Ba  0.0000  0.0000  0.0942
Eu  0.0000  0.0000  0.5000

Summary:
For the formation enthalpy at 0 K, the calculation gives 0.60 eV per formula unit. The crystal system is trigonal. The energy above the most stable polymorph in this dataset comes out at 0 meV per atom. The value obtained for the density is 3.56 g cm⁻³. Its density of states at the Fermi level is 17.25 states/eV/cell.

CsBa2Eu: relaxed, PBE-GGA.

a b c (Å): 7.361 7.361 4.737
angles (deg): 90.00 90.00 90.00
Space group P4/mmm (No. 123)
Asymmetric unit:
Cs  0.000  0.000  0.000
Ba  0.000  0.500  0.500
Eu  0.500  0.500  0.000

Summary:
For the formation enthalpy at 0 K, the calculation gives 0.78 eV per formula unit. The crystal system is tetragonal. The energy above the most stable polymorph in this dataset comes out at 45 meV per atom. The value obtained for the density is 3.62 g cm⁻³. Its density of states at the Fermi level is 6.38 states/eV/cell.

CsBaEu4: relaxed, PBE-GGA.

a b c (Å): 11.015 11.015 11.015
angles (deg): 90.00 90.00 90.00
Space group F-43m (No. 216)
Asymmetric unit:
Cs  0.000  0.000  0.000
Ba  0.250  0.250  0.750
Eu  0.124  0.124  0.376

Summary:
For the formation enthalpy at 0 K, the calculation gives 0.95 eV per formula unit. The crystal system is cubic. The value obtained for the density is 4.36 g cm⁻³. Its density of states at the Fermi level is 142.14 states/eV/cell.

Cs6BaF8: relaxed, PBE-GGA.

a b c (Å): 12.177 12.177 12.177
angles (deg): 90.00 90.00 90.00
Space group Fm-3m (No. 225)
Asymmetric unit:
Cs  0.000  0.250  0.250
Ba  0.000  0.000  0.000
F  0.000  0.000  0.214
F  0.250  0.250  0.250

Summary:
As for the formation energy (no corrections): -43.1 eV/f.u. The crystal system is cubic. The value obtained for the density is 4.00 g cm⁻³. Its density of states at the Fermi level is 0.00 states/eV/cell.

CsBa3F: relaxed, PBE-GGA.

a b c (Å): 6.300 6.300 6.300
angles (deg): 90.00 90.00 90.00
Space group Pm-3m (No. 221)
Asymmetric unit:
Cs  0.000  0.000  0.000
Ba  0.000  0.500  0.500
F  0.500  0.500  0.500

Summary:
As for the formation energy (no corrections): -4.1 eV/f.u. The crystal system is cubic. The energy above the most stable polymorph in this dataset comes out at 0 meV per atom. The value obtained for the density is 3.75 g cm⁻³. Its density of states at the Fermi level is 7.45 states/eV/cell.